Entry from the Alexandria database: a relaxed structure of TmThFe (PBE).

Cell: 6.6628 6.6628 6.6628 Å, 90.00 90.00 90.00°
Sites, in units of the cell vectors:
Tm 0.0000 0.0000 0.0000
Tm 0.0000 0.5000 0.5000
Tm 0.5000 0.0000 0.5000
Tm 0.5000 0.5000 0.0000
Th 0.0000 0.0000 0.5000
Th 0.0000 0.5000 0.0000
Th 0.5000 0.0000 0.0000
Th 0.5000 0.5000 0.5000
Fe 0.2500 0.2500 0.7500
Fe 0.2500 0.7500 0.2500
Fe 0.7500 0.2500 0.2500
Fe 0.7500 0.7500 0.7500

Values from the calculation:
* D(E_F): 13.1 states/eV per cell
* crystal system: cubic
* offset from the most stable computed form: 0.463 eV per formula unit
* calculated density: 10.26 g/cm³
* SG: F-43m, No. 216